Entry 1:
The following is a PBE-GGA calculation of a geometry-optimized PaBeRe structure, from the Alexandria database.

Space-group type: No. 107
E_form in eV/atom: 0.026

a = 3.197 Å, b = 3.197 Å, c = 5.290 Å
α = 107.59°, β = 107.59°, γ = 90.00°
Sites, in units of the cell vectors:
Re (0.664, 0.664, 0.328)
Pa (0.942, 0.942, 0.885)
Be (0.244, 0.244, 0.487)

Entry 2:
The following is a PBE-GGA calculation of a geometry-optimized MgFeMo2 structure, from the Alexandria database.

Space-group type: No. 139
E_form in eV/atom: 0.325

a = 5.079 Å, b = 5.079 Å, c = 5.079 Å
α = 136.76°, β = 136.76°, γ = 62.80°
Site moments in Bohr magnetons follow the coordinates.
Sites, in units of the cell vectors:
Fe (0.250, 0.750, 0.500)  2.26
Mg (0.750, 0.250, 0.500)  -0.01
Mo (0.000, 0.000, 0.000)  -0.03
Mo (0.500, 0.500, 0.000)  -0.03

Entry 3:
The following is a PBE-GGA calculation of a geometry-optimized La2Co12Si3Ni structure, from the Alexandria database.

ΔE_f (raw) in kJ per mole of atoms: 11.26
Space-group type: No. 166

a = 9.223 Å, b = 9.223 Å, c = 9.223 Å
α = 37.86°, β = 37.86°, γ = 37.86°
Site moments in Bohr magnetons follow the coordinates.
Sites, in units of the cell vectors:
La (0.653, 0.653, 0.653)  -0.14
La (0.347, 0.347, 0.347)  -0.14
Co (0.412, 0.412, 0.817)  0.96
Co (0.942, 0.942, 0.345)  1.41
Co (0.345, 0.942, 0.942)  1.41
Co (0.817, 0.412, 0.412)  0.96
Co (0.942, 0.345, 0.942)  1.41
Co (0.412, 0.817, 0.412)  0.96
Co (0.588, 0.588, 0.183)  0.96
Co (0.058, 0.058, 0.655)  1.41
Co (0.655, 0.058, 0.058)  1.41
Co (0.183, 0.588, 0.588)  0.96
Co (0.058, 0.655, 0.058)  1.41
Co (0.588, 0.183, 0.588)  0.96
Si (0.500, 0.000, 0.000)  -0.04
Si (0.000, 0.500, 0.000)  -0.04
Si (0.000, 0.000, 0.500)  -0.04
Ni (0.000, 0.000, 0.000)  0.59

Entry 4:
The following is a PBE-GGA calculation of a geometry-optimized Hf2TaTi2 structure, from the Alexandria database.

Space-group type: No. 139
E_form in eV/atom: 0.546

a = 3.983 Å, b = 3.983 Å, c = 6.909 Å
α = 73.25°, β = 73.25°, γ = 90.00°
Sites, in units of the cell vectors:
Ti (0.412, 0.412, 0.176)
Ti (0.588, 0.588, 0.824)
Hf (0.750, 0.250, 0.500)
Hf (0.250, 0.750, 0.500)
Ta (0.000, 0.000, 0.000)

Entry 5:
The following is a PBE-GGA calculation of a geometry-optimized PtPb2Br2O2 structure, from the Alexandria database.

ΔE_f (raw) in kJ per mole of atoms: -66.78
Space-group type: No. 12

a = 4.049 Å, b = 6.337 Å, c = 7.192 Å
α = 69.05°, β = 73.65°, γ = 71.37°
Sites, in units of the cell vectors:
Pt (0.000, 0.000, 0.000)
Pb (0.190, 0.386, 0.234)
Pb (0.810, 0.614, 0.766)
Br (0.556, 0.172, 0.717)
Br (0.444, 0.828, 0.283)
O (0.190, 0.690, 0.929)
O (0.810, 0.310, 0.071)

Entry 6:
The following is a PBE-GGA calculation of a geometry-optimized Ho3ZrTl3Te8 structure, from the Alexandria database.

ΔE_f (raw) in kJ per mole of atoms: -96.44
Space-group type: No. 166

a = 8.677 Å, b = 8.675 Å, c = 9.697 Å
α = 116.56°, β = 89.99°, γ = 120.02°
Sites, in units of the cell vectors:
Ho (0.500, 0.000, 0.500)
Ho (0.500, 0.500, 0.500)
Ho (0.000, 0.500, 0.500)
Zr (0.000, 0.000, 0.500)
Tl (0.000, 0.000, 0.000)
Tl (0.000, 0.500, 0.000)
Tl (0.500, 0.500, 0.000)
Te (0.262, 0.524, 0.286)
Te (0.738, 0.476, 0.714)
Te (0.770, 0.540, 0.292)
Te (0.230, 0.460, 0.708)
Te (0.770, 0.022, 0.292)
Te (0.230, 0.978, 0.708)
Te (0.252, 0.022, 0.292)
Te (0.748, 0.978, 0.708)

> What is the formula in the sixth record?

Ho3ZrTl3Te8